VASP calculation (PBE-GGA) on an optimized crystal structure of Nd3PbSO.

Unit cell a=4.0974 b=8.9517 c=9.3159 alpha=103.66 beta=90.00 gamma=90.00
Fractional positions:
Nd1 0.7500 0.8878 0.1442
Nd2 0.2500 0.1122 0.8558
Nd3 0.2500 0.8294 0.4771
Nd4 0.7500 0.1706 0.5229
Nd5 0.7500 0.4341 0.1534
Nd6 0.2500 0.5659 0.8466
Pb1 0.2500 0.1864 0.2288
Pb2 0.7500 0.8136 0.7712
S1 0.2500 0.6614 0.1605
S2 0.7500 0.3386 0.8395
O1 0.2500 0.0887 0.5962
O2 0.7500 0.9113 0.4038

Calculated values
space-group type: P2_1/m (11)
formation energy (no corrections): -1.770 eV per atom